[1]
Compound: Ir12Ru2Rh5
Source: Alexandria
Functional: PBE-GGA
Structure: optimized geometry

Unit cell a=8.731 b=8.731 c=6.664 alpha=106.22 beta=106.22 gamma=35.98
Sites, in units of the cell vectors:
Ir 0.047 0.047 0.200
Ir 0.058 0.550 0.702
Ir 0.136 0.653 0.110
Ir 0.347 0.864 0.890
Ir 0.351 0.351 0.409
Ir 0.450 0.942 0.298
Ir 0.550 0.058 0.702
Ir 0.649 0.649 0.591
Ir 0.653 0.136 0.110
Ir 0.864 0.347 0.890
Ir 0.942 0.450 0.298
Ir 0.953 0.953 0.800
Ru 0.265 0.735 0.500
Ru 0.735 0.265 0.500
Rh 0.150 0.150 0.591
Rh 0.251 0.251 0.001
Rh 0.500 0.500 0.000
Rh 0.749 0.749 0.999
Rh 0.850 0.850 0.409

## Properties
Formation energy from the elements in eV per atom: 0.206
Calculated total energy in hartree per atom: -0.3051

[2]
Compound: IrRuRh6
Source: Alexandria
Functional: PBE-GGA
Structure: optimized geometry

Unit cell a=5.146 b=5.146 c=5.146 alpha=89.61 beta=89.61 gamma=89.61
Sites, in units of the cell vectors:
Ir 0.000 0.000 0.000
Ru 0.500 0.500 0.500
Rh 0.061 0.666 0.666
Rh 0.334 0.334 0.939
Rh 0.334 0.939 0.334
Rh 0.666 0.061 0.666
Rh 0.666 0.666 0.061
Rh 0.939 0.334 0.334

## Properties
Formation energy from the elements in eV per atom: 0.840
Energy above the most stable polymorph in this dataset in eV/atom: 0.8244
Calculated total energy in hartree per atom: -0.2551

[3]
Compound: IrRu4Rh2
Source: Alexandria
Functional: PBE-GGA
Structure: optimized geometry

Unit cell a=6.634 b=6.634 c=6.634 alpha=112.73 beta=112.73 gamma=103.13
Sites, in units of the cell vectors:
Ir 0.250 0.250 0.000
Ir 0.750 0.750 0.000
Ru 0.024 0.524 0.201
Ru 0.177 0.976 0.500
Ru 0.323 0.823 0.799
Ru 0.476 0.677 0.500
Ru 0.524 0.323 0.500
Ru 0.677 0.177 0.201
Ru 0.823 0.024 0.500
Ru 0.976 0.476 0.799
Rh 0.146 0.354 0.500
Rh 0.354 0.854 0.209
Rh 0.646 0.146 0.791
Rh 0.854 0.646 0.500

## Properties
Formation energy from the elements in eV per atom: 0.565
Energy above the most stable polymorph in this dataset in eV/atom: 0.1175
Calculated total energy in hartree per atom: -0.2977

[4]
Compound: Ir2RuRh2
Source: Alexandria
Functional: PBE-GGA
Structure: optimized geometry

Unit cell a=2.724 b=3.845 c=13.604 alpha=90.00 beta=90.00 gamma=90.00
Sites, in units of the cell vectors:
Ir 0.000 0.000 0.098
Ir 0.000 0.000 0.902
Ir 0.500 0.500 0.402
Ir 0.500 0.500 0.598
Ru 0.000 0.000 0.500
Ru 0.500 0.500 0.000
Rh 0.000 0.000 0.301
Rh 0.000 0.000 0.699
Rh 0.500 0.500 0.199
Rh 0.500 0.500 0.801

## Properties
Formation energy from the elements in eV per atom: -0.022
Energy above the most stable polymorph in this dataset in eV/atom: 0.0000
Calculated total energy in hartree per atom: -0.3073

[5]
Compound: Ir4Ru4Rh
Source: Alexandria
Functional: PBE-GGA
Structure: optimized geometry

Unit cell a=6.082 b=6.082 c=6.082 alpha=95.72 beta=95.72 gamma=143.18
Sites, in units of the cell vectors:
Ir 0.168 0.168 0.337
Ir 0.168 0.832 0.000
Ir 0.832 0.168 0.000
Ir 0.832 0.832 0.663
Ru 0.162 0.500 0.662
Ru 0.500 0.162 0.662
Ru 0.500 0.838 0.338
Ru 0.838 0.500 0.338
Rh 0.500 0.500 0.000

## Properties
Formation energy from the elements in eV per atom: -0.018
Energy above the most stable polymorph in this dataset in eV/atom: 0.0000
Calculated total energy in hartree per atom: -0.3269

[6]
Compound: Ir2Ru2Rh3
Source: Alexandria
Functional: PBE-GGA
Structure: optimized geometry

Unit cell a=8.589 b=3.841 c=6.083 alpha=90.00 beta=98.25 gamma=90.00
Sites, in units of the cell vectors:
Ir 0.073 0.000 0.208
Ir 0.427 0.500 0.792
Ir 0.573 0.500 0.208
Ir 0.927 0.000 0.792
Ru 0.142 0.500 0.930
Ru 0.358 0.000 0.070
Ru 0.642 0.000 0.930
Ru 0.858 0.500 0.070
Rh 0.000 0.500 0.500
Rh 0.213 0.000 0.647
Rh 0.287 0.500 0.353
Rh 0.500 0.000 0.500
Rh 0.713 0.500 0.647
Rh 0.787 0.000 0.353

## Properties
Formation energy from the elements in eV per atom: -0.013
Energy above the most stable polymorph in this dataset in eV/atom: 0.0000
Calculated total energy in hartree per atom: -0.3067

Q: The lowest formation energy from the elements belongs to which entry?
A: Ir2RuRh2